NdSm12Sn6 PBE relaxed; formation energy from the elements = -273 meV/atom
1.0
7.371 4.256 3.321
-7.371 4.256 3.321
0.000 -8.512 3.321
Nd Sm Sn
1 12 6
Cartesian
0.000 0.000 0.000
-2.248 -6.032 4.163
-2.593 -0.699 2.881
-6.348 -1.070 5.799
-4.100 4.963 4.163
1.902 -1.896 2.881
0.691 2.596 2.881
-0.691 -2.596 7.082
-1.902 1.896 7.082
4.100 -4.963 5.799
6.348 1.070 4.163
2.593 0.699 7.082
2.248 6.032 5.799
-0.926 -3.192 4.034
-2.302 2.398 4.034
-3.227 -0.795 5.928
3.227 0.795 4.034
2.302 -2.398 5.928
0.926 3.192 5.928

Tb12Pm5Dy2 PBE relaxed; formation energy from the elements = 62 meV/atom; offset from the most stable computed form = 0 meV per atom
1.0
6.311 0.000 0.000
0.329 9.036 0.000
1.548 0.506 10.939
Tb Pm Dy
12 5 2
Cartesian
0.683 1.777 4.234
2.384 7.938 10.339
2.149 1.674 8.222
2.753 6.551 3.727
4.269 3.512 10.400
4.405 6.318 7.982
3.783 3.225 2.957
3.918 6.031 0.540
5.435 2.992 7.212
6.039 7.869 2.717
5.803 1.605 0.600
7.505 7.766 6.705
2.433 4.299 6.093
2.611 0.212 1.693
3.929 0.253 5.470
5.577 9.331 9.246
5.755 5.244 4.847
0.689 4.632 1.706
7.498 4.911 9.233

Li2Ca PBE relaxed; formation energy from the elements = 56 meV/atom; offset from the most stable computed form = 68 meV per atom
1.0
5.217 0.000 0.000
-2.609 4.518 0.000
0.000 0.000 3.660
Li Ca
2 1
Cartesian
0.000 3.012 1.797
2.609 1.506 1.863
0.000 0.000 0.000

Ca2TaZnO6 PBE relaxed; energy relative to the elements, uncorrected = -2.482 eV/atom
1.0
5.505 0.000 0.000
0.000 5.681 0.000
-5.427 0.000 7.823
Ca Ta Zn O
4 2 2 12
Cartesian
-0.061 0.313 1.929
-2.775 2.528 5.840
2.853 3.153 1.982
0.139 5.369 5.894
2.753 0.000 0.000
0.039 2.841 3.911
-2.714 0.000 3.911
0.000 2.841 0.000
-4.286 1.118 7.453
-1.573 1.723 3.542
-3.745 4.047 7.399
-1.032 4.475 3.488
-2.154 0.192 5.905
0.560 2.649 1.993
-0.482 3.033 5.829
2.232 5.489 1.918
1.110 1.206 4.335
3.823 1.635 0.423
1.651 3.958 4.281
4.364 4.564 0.370

Li4YTh3Se8 PBE relaxed; energy relative to the elements, uncorrected = -1.526 eV/atom
1.0
4.075 2.353 6.673
-4.075 2.353 6.673
0.000 -4.705 6.673
Li Y Th Se
4 1 3 8
Cartesian
0.000 0.000 0.000
-2.037 -1.176 6.673
-2.037 1.176 13.346
0.000 2.353 6.673
0.000 0.000 10.009
-4.075 0.000 10.009
-2.037 1.176 3.336
2.037 1.176 3.336
0.000 -2.310 8.246
-2.001 1.155 8.246
0.000 0.000 5.159
-2.001 -1.155 11.772
2.001 1.155 8.246
0.000 0.000 14.859
2.001 -1.155 11.772
0.000 2.310 11.772

Sc3PtC PBE relaxed; formation energy from the elements = -712 meV/atom; offset from the most stable computed form = 0 meV per atom
1.0
4.445 0.000 0.000
0.000 4.445 0.000
0.000 0.000 4.445
Sc Pt C
3 1 1
Cartesian
0.000 0.000 2.223
0.000 2.223 0.000
2.223 0.000 0.000
2.223 2.223 2.223
0.000 0.000 0.000

YSiTc PBE relaxed; offset from the most stable computed form = 148 meV per atom; energy relative to the elements, uncorrected = -0.449 eV/atom
1.0
4.221 0.000 0.000
-2.110 3.655 0.000
0.000 0.000 3.778
Y Si Tc
1 1 1
Cartesian
0.000 0.000 0.000
2.110 1.218 1.889
0.000 2.437 1.889

BaCo2Pd2 PBE relaxed; formation energy from the elements = 116 meV/atom
1.0
-2.191 2.191 5.053
2.191 -2.191 5.053
2.191 2.191 -5.053
Ba Co Pd
1 2 2
Cartesian
0.000 0.000 0.000
0.000 0.000 3.936
0.000 0.000 6.170
2.191 0.000 2.527
0.000 2.191 2.527

| no. | density of states at the Fermi level (states/eV/atom) | VASP energy (eV per formula unit) |
| --- | --- | --- |
| 1 | 1.1772 | -90.6 |
| 2 | 1.5134 | -87.3 |
| 3 | 0.6957 | -5.7 |
| 4 | 0.6616 | -71.7 |
| 5 | 0.4782 | -88.7 |
| 6 | 1.0196 | -37.8 |
| 7 | 0.6506 | -23.6 |
| 8 | 1.6390 | -25.9 |